1.
A relaxed BeHgPb crystal, computed with GGA-PBE.

abc: 4.1482 4.1482 9.7950
angles: 90.00 90.00 120.00
With the nearest neighbours (Å) after each atom.
Sites, in units of the cell vectors:
Be 0.0000 0.0000 0.0000  4 Hg 2.40-2.52, 3 Be 2.40
Be 0.3333 0.6667 0.0204  3 Hg 2.40, 3 Be 2.40
Hg 0.0000 0.0000 0.7422  1 Be 2.52
Hg 0.6667 0.3333 0.0138  6 Be 2.40
Pb 0.0000 0.0000 0.2854  1 Be 2.80
Pb 0.6667 0.3333 0.5263  3 Hg 3.20, 3 Pb 3.36

E_tot = -2.312 eV per atom
E_form = 0.267 eV/atom

2.
A relaxed Be2HgRuPb crystal, computed with GGA-PBE.

abc: 4.4481 4.4481 5.8291
angles: 90.00 90.00 90.00
With the nearest neighbours (Å) after each atom.
Sites, in units of the cell vectors:
Be 0.0000 0.5000 0.0000  2 Pb 2.22
Be 0.5000 0.0000 0.0000  2 Pb 2.22
Hg 0.0000 0.0000 0.5000  2 Pb 2.91, 4 Ru 3.15
Ru 0.5000 0.5000 0.5000  4 Hg 3.15
Pb 0.0000 0.0000 0.0000  4 Be 2.22

E_tot = -2.476 eV per atom
E_form = 1.671 eV/atom

Q: What is the E_form in the first record?
A: 0.267 eV/atom